(i)
SrCaMn2: relaxed, PBE.

Structure (extended XYZ):
```
8
Lattice="4.7386 0.0000 0.0000 0.0000 4.7386 0.0000 0.0000 0.0000 9.6859" Properties=species:S:1:pos:R:3 pbc="T T T"
Sr 0.0000 0.0000 0.0000
Sr 2.3693 2.3693 4.8429
Ca 0.0000 2.3693 7.2644
Ca 2.3693 0.0000 2.4215
Mn 0.0000 0.0000 4.8429
Mn 0.0000 2.3693 2.4215
Mn 2.3693 0.0000 7.2644
Mn 2.3693 2.3693 0.0000
```

Summary:
V ... 27.2 Å³ per atom
SG ... I-4m2
Fermi-level density of states ... 13.2 states/eV per cell

***

(ii)
SrCaMn2: relaxed, PBE.

Structure (extended XYZ):
```
4
Lattice="3.6024 0.0000 0.0000 0.0000 3.6024 0.0000 0.0000 0.0000 8.7096" Properties=species:S:1:pos:R:3 pbc="T T T"
Sr 0.0000 0.0000 0.0000
Ca 1.8012 1.8012 3.3550
Mn 0.0000 0.0000 5.3667
Mn 1.8012 1.8012 6.4829
```

Summary:
V ... 28.3 Å³ per atom
SG ... P4mm
Fermi-level density of states ... 5.4 states/eV per cell

***

(iii)
SrCaMn2: relaxed, PBE.

Structure (extended XYZ):
```
4
Lattice="3.8966 0.0000 0.0000 0.0000 3.8966 0.0000 0.0000 0.0000 7.4015" Properties=species:S:1:pos:R:3 pbc="T T T"
Sr 0.0000 0.0000 0.0000
Ca 0.0000 0.0000 3.7007
Mn 1.9483 1.9483 2.2040
Mn 1.9483 1.9483 5.1975
```

Summary:
V ... 28.1 Å³ per atom
SG ... P4/mmm
Fermi-level density of states ... 5.4 states/eV per cell

***

(iv)
SrCaMn2: relaxed, PBE.

Structure (extended XYZ):
```
4
Lattice="5.3683 0.0000 0.0000 0.0000 5.3683 0.0000 0.0000 0.0000 3.8114" Properties=species:S:1:pos:R:3 pbc="T T T"
Sr 0.0000 0.0000 0.0000
Ca 2.6842 2.6842 0.0000
Mn 0.0000 2.6842 1.9057
Mn 2.6842 0.0000 1.9057
```

Summary:
V ... 27.5 Å³ per atom
SG ... P4/mmm
Fermi-level density of states ... 5.8 states/eV per cell

***

Most stable one: (ii), least stable one: (i).

***

(i)
SrCaMn2: relaxed, PBE.

Structure (extended XYZ):
```
16
Lattice="8.3791 0.0000 0.0000 0.0000 8.3791 0.0000 0.0000 0.0000 6.4176" Properties=species:S:1:pos:R:3 pbc="T T T"
Sr 0.0000 0.0000 0.0000
Sr 0.0000 4.1895 1.6044
Sr 4.1895 0.0000 4.8132
Sr 4.1895 4.1895 3.2088
Ca 0.0000 0.0000 3.2088
Ca 0.0000 4.1895 4.8132
Ca 4.1895 0.0000 1.6044
Ca 4.1895 4.1895 0.0000
Mn 2.0117 2.0948 4.0110
Mn 2.0948 6.2012 5.6154
Mn 2.0948 6.3674 2.4066
Mn 2.1779 2.0948 0.8022
Mn 6.2012 6.2843 0.8022
Mn 6.2843 2.0117 2.4066
Mn 6.2843 2.1779 5.6154
Mn 6.3674 6.2843 4.0110
```

Summary:
V ... 28.2 Å³ per atom
SG ... I-42d
Fermi-level density of states ... 19.2 states/eV per cell

***

(ii)
SrCaMn2: relaxed, PBE.

Structure (extended XYZ):
```
8
Lattice="11.8831 0.0000 0.0000 0.0000 3.5486 0.0000 -1.8914 0.0000 5.1869" Properties=species:S:1:pos:R:3 pbc="T T T"
Sr 0.0000 0.0000 0.0000
Sr 5.9416 1.7743 0.0000
Ca 1.1722 0.0000 3.3448
Ca 7.1137 1.7743 3.3448
Mn 2.7494 1.7743 1.0682
Mn 4.3405 0.0000 2.3279
Mn 8.6909 0.0000 1.0682
Mn 10.2820 1.7743 2.3279
```

Summary:
V ... 27.3 Å³ per atom
SG ... Cm
Fermi-level density of states ... 7.1 states/eV per cell

***

(iii)
SrCaMn2: relaxed, PBE.

Structure (extended XYZ):
```
8
Lattice="4.5905 0.0000 0.0000 0.0000 4.1878 0.0000 0.0000 0.0000 12.1941" Properties=species:S:1:pos:R:3 pbc="T T T"
Sr 0.0000 0.0000 0.0000
Sr 0.0000 2.0939 6.0971
Ca 2.2953 0.0000 8.6554
Ca 2.2953 2.0939 2.5583
Mn 0.0000 0.0000 3.5438
Mn 0.0000 2.0939 9.6408
Mn 2.2953 0.0000 4.9189
Mn 2.2953 2.0939 11.0160
```

Summary:
V ... 29.3 Å³ per atom
SG ... Amm2
Fermi-level density of states ... 8.4 states/eV per cell

***

Most stable one: (iii), least stable one: (i).

***

(i)
SrCaMn2: relaxed, PBE.

Structure (extended XYZ):
```
12
Lattice="3.6498 0.0000 0.0000 -1.8249 3.1608 0.0000 0.0000 0.0000 30.0339" Properties=species:S:1:pos:R:3 pbc="T T T"
Sr 0.0000 0.0000 0.0000
Sr 0.0000 2.1072 20.0226
Sr 1.8249 1.0536 10.0113
Ca 0.0000 0.0000 15.0170
Ca 0.0000 2.1072 5.0057
Ca 1.8249 1.0536 25.0283
Mn 0.0000 0.0000 7.4247
Mn 0.0000 0.0000 22.6092
Mn 0.0000 2.1072 12.5979
Mn 0.0000 2.1072 27.4473
Mn 1.8249 1.0536 2.5866
Mn 1.8249 1.0536 17.4360
```

Summary:
V ... 28.9 Å³ per atom
SG ... R-3m
Fermi-level density of states ... 13.8 states/eV per cell

***

(ii)
SrCaMn2: relaxed, PBE.

Structure (extended XYZ):
```
8
Lattice="9.9541 0.0000 0.0000 0.0000 4.6690 0.0000 -3.5316 0.0000 5.4367" Properties=species:S:1:pos:R:3 pbc="T T T"
Sr 0.0000 0.0000 0.0000
Sr 4.9771 2.3345 0.0000
Ca -1.7658 2.3345 2.7184
Ca 3.2113 0.0000 2.7184
Mn 0.2182 0.0000 3.2275
Mn 1.2273 2.3345 2.2092
Mn 5.1953 2.3345 3.2275
Mn 6.2043 0.0000 2.2092
```

Summary:
V ... 31.6 Å³ per atom
SG ... C2/m
Fermi-level density of states ... 12.1 states/eV per cell

***

Most stable one: (ii), least stable one: (i).

***

(i)
CaTaMn: relaxed, PBE.

Structure (extended XYZ):
```
12
Lattice="6.3760 0.0000 0.0000 0.0000 6.3760 0.0000 0.0000 0.0000 6.3760" Properties=species:S:1:pos:R:3 pbc="T T T"
Ca 0.0000 0.0000 0.0000
Ca 0.0000 3.1880 3.1880
Ca 3.1880 0.0000 3.1880
Ca 3.1880 3.1880 0.0000
Ta 0.0000 0.0000 3.1880
Ta 0.0000 3.1880 0.0000
Ta 3.1880 0.0000 0.0000
Ta 3.1880 3.1880 3.1880
Mn 1.5940 1.5940 4.7820
Mn 1.5940 4.7820 1.5940
Mn 4.7820 1.5940 1.5940
Mn 4.7820 4.7820 4.7820
```

Summary:
V ... 21.6 Å³ per atom
SG ... F-43m
Fermi-level density of states ... 11.1 states/eV per cell

***

(ii)
CaTaMn: relaxed, PBE.

Structure (extended XYZ):
```
3
Lattice="3.2325 0.0000 0.0000 -1.6163 2.7994 0.0000 0.0000 0.0000 6.8905" Properties=species:S:1:pos:R:3 pbc="T T T"
Ca 0.0000 0.0000 0.0000
Ta 1.6163 0.9331 3.9795
Mn 0.0000 1.8663 2.4154
```

Summary:
V ... 20.8 Å³ per atom
SG ... P3m1
Fermi-level density of states ... 3.2 states/eV per cell

***

(iii)
CaTaMn: relaxed, PBE.

Structure (extended XYZ):
```
6
Lattice="3.2356 0.0000 0.0000 0.0000 3.2356 0.0000 0.0000 0.0000 11.5939" Properties=species:S:1:pos:R:3 pbc="T T T"
Ca 0.0000 0.0000 0.0000
Ca 1.6178 1.6178 5.7969
Ta 0.0000 0.0000 8.3872
Ta 1.6178 1.6178 2.5902
Mn 0.0000 0.0000 3.6124
Mn 1.6178 1.6178 9.4093
```

Summary:
V ... 20.2 Å³ per atom
SG ... I4mm
Fermi-level density of states ... 3.6 states/eV per cell

***

(iv)
CaTaMn: relaxed, PBE.

Structure (extended XYZ):
```
3
Lattice="4.7541 0.0000 0.0000 -2.3771 4.1172 0.0000 0.0000 0.0000 3.0964" Properties=species:S:1:pos:R:3 pbc="T T T"
Ca 0.0000 0.0000 0.0000
Ta 2.3771 1.3724 1.5482
Mn 0.0000 2.7448 1.5482
```

Summary:
V ... 20.2 Å³ per atom
SG ... P-6m2
Fermi-level density of states ... 3.3 states/eV per cell

***

Most stable one: (iii), least stable one: (i).

***

(i)
Ca2MnTc: relaxed, PBE.

Structure (extended XYZ):
```
12
Lattice="3.2371 0.0000 0.0000 -1.6185 2.8034 0.0000 0.0000 0.0000 30.2701" Properties=species:S:1:pos:R:3 pbc="T T T"
Ca 0.0000 0.0000 7.3630
Ca 0.0000 0.0000 22.9071
Ca 0.0000 1.8689 12.8171
Ca 0.0000 1.8689 27.5431
Ca 1.6185 0.9345 2.7270
Ca 1.6185 0.9345 17.4531
Mn 0.0000 0.0000 0.0000
Mn 0.0000 1.8689 20.1801
Mn 1.6185 0.9345 10.0900
Tc 0.0000 0.0000 15.1351
Tc 0.0000 1.8689 5.0450
Tc 1.6185 0.9345 25.2251
```

Summary:
V ... 22.9 Å³ per atom
SG ... R-3m
Fermi-level density of states ... 11.9 states/eV per cell

***

(ii)
Ca2MnTc: relaxed, PBE.

Structure (extended XYZ):
```
4
Lattice="2.9768 0.0000 0.0000 0.0000 4.6154 0.0000 -0.0497 0.0000 6.3131" Properties=species:S:1:pos:R:3 pbc="T T T"
Ca 2.9646 0.0000 1.5189
Ca -0.0375 0.0000 4.7942
Mn 1.4636 2.3077 3.1565
Tc 1.4884 2.3077 0.0000
```

Summary:
V ... 21.7 Å³ per atom
SG ... P2/m
Fermi-level density of states ... 4.1 states/eV per cell

***

(iii)
Ca2MnTc: relaxed, PBE.

Structure (extended XYZ):
```
4
Lattice="5.1412 0.0000 0.0000 0.0000 5.1412 0.0000 0.0000 0.0000 3.4949" Properties=species:S:1:pos:R:3 pbc="T T T"
Ca 0.0000 2.5706 0.0000
Ca 2.5706 0.0000 0.0000
Mn 0.0000 0.0000 1.7475
Tc 2.5706 2.5706 1.7475
```

Summary:
V ... 23.1 Å³ per atom
SG ... P4/mmm
Fermi-level density of states ... 5.3 states/eV per cell

***

Most stable one: (ii), least stable one: (i).